1.
Here is an optimized crystal structure of Ca2CdBiN from the Alexandria database. Energies are from PBE.

Computed properties:
DOS(E_F) = 0.83 states/eV/f.u.
raw formation energy = -628 meV per atom

Cell: 4.9469 4.9469 4.6349 Å, 90.00 90.00 90.00°
Last column: nearest neighbours and their distance in Å.
Element x y z (fractional)
Ca  0.0000  0.5000  0.0000  2 N 2.47
Ca  0.5000  0.0000  0.0000  2 N 2.47
Cd  0.0000  0.0000  0.5000  2 N 2.32
Bi  0.5000  0.5000  0.5000  8 Ca 3.39, 4 Cd 3.50
N  0.0000  0.0000  0.0000  2 Cd 2.32, 4 Ca 2.47

---

2.
Here is an optimized crystal structure of HfSc2TiN from the Alexandria database. Energies are from PBE.

Computed properties:
DOS(E_F) = 6.19 states/eV/f.u.
raw formation energy = -616 meV per atom
distance to the lowest polymorph of the same formula = 0 meV/atom

Cell: 4.4765 4.4765 4.4576 Å, 90.00 90.00 90.00°
Last column: nearest neighbours and their distance in Å.
Element x y z (fractional)
Hf  0.0000  0.0000  0.0000  2 N 2.23
Sc  0.0000  0.5000  0.5000  2 N 2.24
Sc  0.5000  0.0000  0.5000  2 N 2.24
Ti  0.5000  0.5000  0.0000  8 Sc 3.16, 4 Hf 3.17
N  0.0000  0.0000  0.5000  2 Hf 2.23, 4 Sc 2.24

---

3.
Here is an optimized crystal structure of Sm4CuAg2 from the Alexandria database. Energies are from PBE.

Computed properties:
DOS(E_F) = 8.49 states/eV/f.u.
calculated total energy = -4.18 eV per atom

Cell: 6.2930 6.2930 5.1342 Å, 90.00 90.00 109.08°
Last column: nearest neighbours and their distance in Å.
Element x y z (fractional)
Sm  0.0000  0.5000  0.5000  2 Cu 3.15, 4 Ag 3.15
Sm  0.2459  0.2459  0.0000  2 Cu 3.13, 4 Ag 3.14-3.15
Sm  0.5000  0.0000  0.5000  2 Cu 3.15, 4 Ag 3.15
Sm  0.7541  0.7541  0.0000  2 Cu 3.13, 4 Ag 3.14-3.15
Cu  0.0000  0.0000  0.5000  8 Sm 3.13-3.15
Ag  0.2524  0.7476  0.0000  8 Sm 3.14-3.15
Ag  0.7476  0.2524  0.0000  8 Sm 3.14-3.15

---

4.
Here is an optimized crystal structure of Sb4C2S from the Alexandria database. Energies are from PBE.

Computed properties:
DOS(E_F) = 2.91 states/eV/f.u.
raw formation energy = 885 meV per atom

Cell: 7.0584 7.0584 7.0584 Å, 135.89 135.89 64.16°
Last column: nearest neighbours and their distance in Å.
Element x y z (fractional)
Sb  0.0000  0.5000  0.5000  2 S 2.65, 4 C 2.73
Sb  0.2346  0.2346  0.0000  1 C 2.14
Sb  0.5000  0.0000  0.5000  2 S 2.65, 4 C 2.73
Sb  0.7654  0.7654  0.0000  1 C 2.14
C  0.0558  0.0558  0.0000  1 C 1.34
C  0.9442  0.9442  0.0000  1 C 1.34
S  0.5000  0.5000  0.0000  4 Sb 2.65

---

> Which of these has the highest DOS(E_F)?

Sm4CuAg2

---

> The lowest DOS(E_F) belongs to which entry?

Ca2CdBiN